(1)
# PBE TlAsW2, optimized geometry
data_TlAsW2
_cell_length_a 4.1409
_cell_length_b 3.2399
_cell_length_c 5.8746
_cell_angle_alpha 81.24
_cell_angle_beta 90.00
_cell_angle_gamma 90.00
_symmetry_space_group_name_H-M 'P 1'
_symmetry_Int_Tables_number 1
loop_
_symmetry_equiv_pos_as_xyz
'x,y,z'
loop_
_atom_site_label
_atom_site_type_symbol
_atom_site_fract_x
_atom_site_fract_y
_atom_site_fract_z
Tl1 Tl 0.5000 0.7500 0.7500
As1 As 0.5000 0.2500 0.2500
W1 W 0.0000 0.9926 0.0676
W2 W 0.0000 0.5074 0.4324
# **D(E_F)**: 0.509 states/eV per atom
# **E above lowest polymorph**: 447.4 meV per atom
# **ΔE_f**: 3.387 eV per formula unit
# **M_tot**: 0.0 μB/cell
# **VASP energy**: -29.5 eV for the cell shown

***

(2)
# PBE TlAs2W, optimized geometry
data_TlAs2W
_cell_length_a 6.3590
_cell_length_b 6.3590
_cell_length_c 6.3590
_cell_angle_alpha 151.97
_cell_angle_beta 132.28
_cell_angle_gamma 56.26
_symmetry_space_group_name_H-M 'P 1'
_symmetry_Int_Tables_number 1
loop_
_symmetry_equiv_pos_as_xyz
'x,y,z'
loop_
_atom_site_label
_atom_site_type_symbol
_atom_site_fract_x
_atom_site_fract_y
_atom_site_fract_z
Tl1 Tl 0.2500 0.7500 0.5000
As1 As 0.9331 0.9331 0.0000
As2 As 0.5669 0.5669 0.0000
W1 W 0.7500 0.2500 0.5000
# **D(E_F)**: 0.687 states/eV per atom
# **E above lowest polymorph**: 421.6 meV per atom
# **ΔE_f**: 1.953 eV per formula unit
# **M_tot**: 0.0 μB/cell
# **VASP energy**: -22.7 eV for the cell shown

***

(3)
# PBE TlAsW2, optimized geometry
data_TlAsW2
_cell_length_a 4.6896
_cell_length_b 4.6896
_cell_length_c 4.6896
_cell_angle_alpha 119.98
_cell_angle_beta 119.98
_cell_angle_gamma 90.04
_symmetry_space_group_name_H-M 'P 1'
_symmetry_Int_Tables_number 1
loop_
_symmetry_equiv_pos_as_xyz
'x,y,z'
loop_
_atom_site_label
_atom_site_type_symbol
_atom_site_fract_x
_atom_site_fract_y
_atom_site_fract_z
Tl1 Tl 0.7500 0.2500 0.5000
As1 As 0.5000 0.5000 0.0000
W1 W 0.0000 0.0000 0.0000
W2 W 0.2500 0.7500 0.5000
# **D(E_F)**: 0.300 states/eV per atom
# **E above lowest polymorph**: 517.2 meV per atom
# **ΔE_f**: 3.666 eV per formula unit
# **M_tot**: 0.0 μB/cell
# **VASP energy**: -29.3 eV for the cell shown

***

(4)
# PBE TlAs2W, optimized geometry
data_TlAs2W
_cell_length_a 3.1826
_cell_length_b 3.2003
_cell_length_c 8.7122
_cell_angle_alpha 67.71
_cell_angle_beta 90.00
_cell_angle_gamma 90.00
_symmetry_space_group_name_H-M 'P 1'
_symmetry_Int_Tables_number 1
loop_
_symmetry_equiv_pos_as_xyz
'x,y,z'
loop_
_atom_site_label
_atom_site_type_symbol
_atom_site_fract_x
_atom_site_fract_y
_atom_site_fract_z
Tl1 Tl 0.5000 0.2500 0.2500
As1 As 0.0000 0.0617 0.9341
As2 As 0.0000 0.4383 0.5659
W1 W 0.5000 0.7500 0.7500
# **D(E_F)**: 0.816 states/eV per atom
# **E above lowest polymorph**: 28.2 meV per atom
# **ΔE_f**: 0.380 eV per formula unit
# **M_tot**: 0.0 μB/cell
# **VASP energy**: -24.2 eV for the cell shown